A plane-wave DFT calculation with meta-GGA SCAN was carried out for ScCl2 at its PBEsol-relaxed geometry.

Results
- formation energy without anion corrections (kJ/mol of formula units) = -598
- symmetry = No. 8
- spin magnetization (μB per cell) = 0.004

Lattice parameters (Å, degrees): 3.4462 6.3869 6.6658 83.02 104.98 90.00
Last column: nearest neighbours and their distance in Å.
Element x y z (fractional)
Cl1 0.5730 0.3798 0.1460  2 Sc 2.53
Cl2 0.3279 0.7547 0.6558  3 Sc 2.46-2.60
Cl3 0.3013 0.2266 0.6027  3 Sc 2.52-2.64
Sc1 0.7144 0.9872 0.4288  6 Cl 2.56-2.64
Sc2 0.1749 0.5610 0.3498  5 Cl 2.46-2.53
Cl4 0.0751 0.9240 0.1501  3 Sc 2.51-2.56